The following is a DFT calculation (PBE) of BeFe2Te after structural relaxation.

Density of states at the Fermi level, states/eV/cell: 7.87
ΔE to the lowest computed polymorph, eV per atom: 0.091
Final energy, eV per atom: -5.611

a b c (Å): 3.694 3.694 7.777
angles (deg): 90.00 90.00 90.00
Space group I-4m2 (No. 119)
One atom of each set of equivalent atoms:
1 Be 0.000 0.000 0.000 [2 per cell]
2 Fe 0.000 0.000 0.500 [2 per cell]
3 Fe 0.000 0.500 0.750 [2 per cell]
4 Te 0.000 0.500 0.250 [2 per cell]